(1)
DFT (PBE) results for a geometry-optimized TlTcF2 structure.

Cell: 2.9515 2.9515 25.4384 Å, 90.00 90.00 120.00°
Space group R-3m (No. 166, hexagonal axes)
One atom of each set of equivalent atoms:
Tl1 0.0000 0.0000 0.0000 x3
Tc1 0.0000 0.0000 0.5000 x3
F1 0.0000 0.0000 0.4228 x6

energy relative to the elements, uncorrected	-0.951	eV/atom
VASP energy	-5.07	eV per atom
DOS at the Fermi energy	1.5	states/eV/f.u.
crystal system	trigonal
relative energy among the computed polymorphs	0.00	eV/f.u.

(2)
DFT (PBE) results for a geometry-optimized CaSbAu10 structure.

Cell: 4.6896 5.5811 9.7135 Å, 90.00 90.00 90.00°
Space group Pmmm (No. 47)
One atom of each set of equivalent atoms:
Ca1 0.0000 0.0000 0.0000 x1
Sb1 0.0000 0.5000 0.5000 x1
Au1 0.0000 0.0000 0.3379 x2
Au2 0.0000 0.5000 0.1692 x2
Au3 0.5000 0.0000 0.5000 x1
Au4 0.5000 0.2475 0.2468 x4
Au5 0.5000 0.5000 0.0000 x1

energy relative to the elements, uncorrected	-0.147	eV/atom
VASP energy	-3.39	eV per atom
DOS at the Fermi energy	4.4	states/eV/f.u.
crystal system	orthorhombic

(3)
DFT (PBE) results for a geometry-optimized PaTi5Bi4 structure.

Cell: 8.6747 10.1868 5.2231 Å, 90.00 90.00 90.00°
Space group Pmmn (No. 59, origin choice 2)
One atom of each set of equivalent atoms:
Pa1 0.2500 0.2500 0.1921 x2
Ti1 0.0871 0.0094 0.2418 x8
Ti2 0.2500 0.7500 0.0214 x2
Bi1 0.0630 0.7500 0.5027 x4
Bi2 0.2500 0.0360 0.7477 x4

VASP energy	-6.33	eV per atom
energy of formation	2.76	kcal/mol of atoms
DOS at the Fermi energy	9.9	states/eV/f.u.
crystal system	orthorhombic

(4)
DFT (PBE) results for a geometry-optimized SrGdCuSn structure.

Cell: 7.6062 7.6062 7.6062 Å, 90.00 90.00 90.00°
Space group F-43m (No. 216)
One atom of each set of equivalent atoms:
Sr1 0.0000 0.0000 0.0000 x4
Gd1 0.0000 0.0000 0.5000 x4
Cu1 0.2500 0.2500 0.7500 x4
Sn1 0.2500 0.2500 0.2500 x4

VASP energy	-6.32	eV per atom
energy of formation	-8.15	kcal/mol of atoms
DOS at the Fermi energy	3.5	states/eV/f.u.
crystal system	cubic

(5)
DFT (PBE) results for a geometry-optimized GaPd6Au2 structure.

Cell: 8.2787 8.2787 4.1724 Å, 90.00 90.00 90.00°
Space group P4_2/mnm (No. 136)
One atom of each set of equivalent atoms:
Ga1 0.0000 0.0000 0.0000 x2
Pd1 0.0215 0.3302 0.0000 x8
Pd2 0.1369 0.8631 0.5000 x4
Au1 0.1932 0.1932 0.5000 x4

VASP energy	-4.76	eV per atom
energy of formation	-5.35	kcal/mol of atoms
DOS at the Fermi energy	5.4	states/eV/f.u.
crystal system	tetragonal
relative energy among the computed polymorphs	0.00	eV/f.u.

(6)
DFT (PBE) results for a geometry-optimized DyPaTc structure.

Cell: 3.8552 3.8552 6.1436 Å, 90.00 90.00 120.00°
Space group P3m1 (No. 156)
One atom of each set of equivalent atoms:
Dy1 0.0000 0.0000 0.0000 x1
Pa1 0.6667 0.3333 0.4810 x1
Tc1 0.3333 0.6667 0.6923 x1

VASP energy	-8.05	eV per atom
energy of formation	2.42	kcal/mol of atoms
DOS at the Fermi energy	4.6	states/eV/f.u.
crystal system	trigonal
relative energy among the computed polymorphs	0.76	eV/f.u.

(7)
DFT (PBE) results for a geometry-optimized P3RuC structure.

Cell: 3.9224 3.9224 3.9224 Å, 90.00 90.00 90.00°
Space group Pm-3m (No. 221)
One atom of each set of equivalent atoms:
P1 0.0000 0.0000 0.5000 x3
Ru1 0.5000 0.5000 0.5000 x1
C1 0.0000 0.0000 0.0000 x1

VASP energy	-5.96	eV per atom
energy of formation	22.70	kcal/mol of atoms
DOS at the Fermi energy	2.3	states/eV/f.u.
crystal system	cubic
relative energy among the computed polymorphs	0.00	eV/f.u.

(8)
DFT (PBE) results for a geometry-optimized Tl2PbF structure.

Cell: 5.7817 5.7817 15.5645 Å, 90.00 90.00 90.00°
Space group I-42d (No. 122)
One atom of each set of equivalent atoms:
Tl1 0.1451 0.2500 0.1250 x8
Pb1 0.0000 0.0000 0.5000 x4
F1 0.0000 0.0000 0.0000 x4

energy relative to the elements, uncorrected	-0.533	eV/atom
VASP energy	-3.11	eV per atom
DOS at the Fermi energy	1.5	states/eV/f.u.
crystal system	tetragonal
relative energy among the computed polymorphs	0.59	eV/f.u.

(9)
DFT (PBE) results for a geometry-optimized MgNiAs2 structure.

Cell: 3.2123 3.7342 5.8345 Å, 90.00 90.00 90.00°
Space group Pmm2 (No. 25)
One atom of each set of equivalent atoms:
Mg1 0.0000 0.0000 0.0000 x1
Ni1 0.5000 0.5000 0.3853 x1
As1 0.0000 0.0000 0.4576 x1
As2 0.5000 0.5000 0.7989 x1

VASP energy	-4.25	eV per atom
energy of formation	-1.97	kcal/mol of atoms
DOS at the Fermi energy	1.7	states/eV/f.u.
crystal system	orthorhombic

(10)
DFT (PBE) results for a geometry-optimized AgWAu2 structure.

Cell: 2.7728 4.1191 6.0834 Å, 90.00 90.00 90.00°
Space group Pmmm (No. 47)
One atom of each set of equivalent atoms:
Ag1 0.0000 0.0000 0.0000 x1
W1 0.0000 0.0000 0.5000 x1
Au1 0.5000 0.5000 0.2652 x2

VASP energy	-5.23	eV per atom
energy of formation	8.37	kcal/mol of atoms
DOS at the Fermi energy	1.9	states/eV/f.u.
crystal system	orthorhombic
relative energy among the computed polymorphs	0.53	eV/f.u.

(11)
DFT (PBE) results for a geometry-optimized Cd2CuPt8 structure.

Cell: 4.9470 6.2940 6.3140 Å, 107.89 96.84 104.28°
Space group P-1 (No. 2)
One atom of each set of equivalent atoms:
Cd1 0.1812 0.2313 0.1452 x2
Cu1 0.0000 0.5000 0.5000 x1
Pt1 0.0848 0.8481 0.3235 x2
Pt2 0.2697 0.5934 0.9447 x2
Pt3 0.3721 0.9652 0.7703 x2
Pt4 0.4530 0.3182 0.5921 x2

VASP energy	-5.07	eV per atom
energy of formation	-3.20	kcal/mol of atoms
DOS at the Fermi energy	12.0	states/eV/f.u.
crystal system	triclinic

(12)
DFT (PBE) results for a geometry-optimized VCuSeN2 structure.

Cell: 3.7065 3.7065 4.8684 Å, 90.00 90.00 90.00°
Space group P4/mmm (No. 123)
One atom of each set of equivalent atoms:
V1 0.0000 0.0000 0.0000 x1
Cu1 0.5000 0.5000 0.5000 x1
Se1 0.5000 0.5000 0.0000 x1
N1 0.0000 0.5000 0.5000 x2

energy relative to the elements, uncorrected	1.485	eV/atom
VASP energy	-5.19	eV per atom
DOS at the Fermi energy	7.3	states/eV/f.u.
crystal system	tetragonal
relative energy among the computed polymorphs	5.56	eV/f.u.